(1)
# KSm2Ho | Alexandria | PBE-GGA | relaxed
data_KSm2Ho
_symmetry_space_group_name_H-M 'R -3 m'
_symmetry_Int_Tables_number 166
_symmetry_space_group_name_Hall '-R 3 2"'
_cell_length_a 3.6232
_cell_length_b 3.6232
_cell_length_c 39.9718
_cell_angle_alpha 90.00
_cell_angle_beta 90.00
_cell_angle_gamma 120.00
loop_
_atom_site_label
_atom_site_type_symbol
_atom_site_fract_x
_atom_site_fract_y
_atom_site_fract_z
K1 K 0.0000 0.0000 0.0000
Sm1 Sm 0.0000 0.0000 0.0959
Ho1 Ho 0.0000 0.0000 0.5000
# D(E_F) in states/eV per cell: 12.8
# VASP energy in eV per atom: -3.571

(2)
# Ba12Ag5Rh2 | Alexandria | PBE-GGA | relaxed
data_Ba12Ag5Rh2
_symmetry_space_group_name_H-M 'C 1 2/m 1'
_symmetry_Int_Tables_number 12
_symmetry_space_group_name_Hall '-C 2y'
_cell_length_a 18.978
_cell_length_b 8.907
_cell_length_c 10.627
_cell_angle_alpha 90.00
_cell_angle_beta 106.30
_cell_angle_gamma 90.00
loop_
_atom_site_label
_atom_site_type_symbol
_atom_site_fract_x
_atom_site_fract_y
_atom_site_fract_z
Ba1 Ba 0.000 0.000 0.212
Ba2 Ba 0.006 0.500 0.811
Ba3 Ba 0.148 0.253 0.567
Ba4 Ba 0.166 0.239 0.091
Ag1 Ag 0.000 0.500 0.500
Ag2 Ag 0.190 0.000 0.836
Ag3 Ag 0.200 0.000 0.360
Rh1 Rh 0.000 0.240 0.000
# D(E_F) in states/eV per cell: 22.0
# VASP energy in eV per atom: -2.923

(3)
# HfZnCu3 | Alexandria | PBE-GGA | relaxed
data_HfZnCu3
_symmetry_space_group_name_H-M 'P m -3 m'
_symmetry_Int_Tables_number 221
_symmetry_space_group_name_Hall '-P 4 2 3'
_cell_length_a 4.926
_cell_length_b 4.926
_cell_length_c 4.926
_cell_angle_alpha 90.00
_cell_angle_beta 90.00
_cell_angle_gamma 90.00
loop_
_atom_site_label
_atom_site_type_symbol
_atom_site_fract_x
_atom_site_fract_y
_atom_site_fract_z
Hf1 Hf 0.000 0.000 0.000
Zn1 Zn 0.500 0.500 0.500
Cu1 Cu 0.000 0.000 0.500
# D(E_F) in states/eV per cell: 3.1
# Polymorph energy (0 for the lowest one) in meV per atom: 1425
# VASP energy in eV per atom: -3.411

(4)
# Hf3ScTc | Alexandria | PBE-GGA | relaxed
data_Hf3ScTc
_symmetry_space_group_name_H-M 'P m -3 m'
_symmetry_Int_Tables_number 221
_symmetry_space_group_name_Hall '-P 4 2 3'
_cell_length_a 4.815
_cell_length_b 4.815
_cell_length_c 4.815
_cell_angle_alpha 90.00
_cell_angle_beta 90.00
_cell_angle_gamma 90.00
loop_
_atom_site_label
_atom_site_type_symbol
_atom_site_fract_x
_atom_site_fract_y
_atom_site_fract_z
Hf1 Hf 0.000 0.000 0.500
Sc1 Sc 0.000 0.000 0.000
Tc1 Tc 0.500 0.500 0.500
# D(E_F) in states/eV per cell: 6.4
# Polymorph energy (0 for the lowest one) in meV per atom: 1245
# VASP energy in eV per atom: -7.685

Let's list magnetization in order: 0.000 0.000 0.000 0.000 μB/cell.